# 1
LaIrW3: optimized geometry, GGA-PBE.

abc: 4.704 4.704 4.704
angles: 90.00 90.00 90.00
Fractional coordinates of all 5 atoms:
La  0.000  0.000  0.000
Ir  0.500  0.500  0.500
W  0.000  0.000  0.500
W  0.000  0.500  0.000
W  0.500  0.000  0.000

Summary:
VASP energy = -7.4920 eV per atom
Energy of formation = 3.04 eV per atom
Crystal system = cubic



# 2
LaIr2W: optimized geometry, GGA-PBE.

abc: 4.960 4.960 4.960
angles: 127.62 127.62 77.24
Fractional coordinates of all 4 atoms:
La  0.000  0.000  0.000
Ir  0.250  0.750  0.500
Ir  0.750  0.250  0.500
W  0.500  0.500  0.000

Summary:
VASP energy = -8.6284 eV per atom
Energy of formation = 0.27 eV per atom
Crystal system = tetragonal



# 3
LaIr2W: optimized geometry, GGA-PBE.

abc: 2.924 2.924 8.656
angles: 90.00 90.00 90.00
Fractional coordinates of all 4 atoms:
La  0.000  0.000  0.000
Ir  0.000  0.000  0.512
Ir  0.500  0.500  0.733
W  0.500  0.500  0.316

Summary:
VASP energy = -8.6098 eV per atom
Energy of formation = 0.29 eV per atom
Crystal system = tetragonal



# 4
LaIr2W: optimized geometry, GGA-PBE.

abc: 6.027 6.027 6.027
angles: 152.15 132.41 56.04
Fractional coordinates of all 4 atoms:
La  0.000  0.000  0.000
Ir  0.506  0.506  0.000
Ir  0.732  0.232  0.500
W  0.292  0.792  0.500

Summary:
VASP energy = -8.7757 eV per atom
Energy of formation = 0.12 eV per atom
Crystal system = orthorhombic



# 5
La2IrW: optimized geometry, GGA-PBE.

abc: 6.408 6.408 6.408
angles: 102.86 102.86 123.70
Fractional coordinates of all 8 atoms:
La  0.104  0.125  0.479
La  0.375  0.896  0.021
La  0.646  0.625  0.521
La  0.875  0.354  0.979
Ir  0.000  0.000  0.000
Ir  0.750  0.250  0.500
W  0.250  0.750  0.500
W  0.500  0.500  0.000

Summary:
VASP energy = -7.3561 eV per atom
Energy of formation = 0.56 eV per atom
Crystal system = tetragonal



# 6
LaIr2W: optimized geometry, GGA-PBE.

abc: 3.013 3.013 8.064
angles: 90.00 90.00 90.00
Fractional coordinates of all 4 atoms:
La  0.000  0.000  0.000
Ir  0.500  0.500  0.293
Ir  0.500  0.500  0.707
W  0.000  0.000  0.500

Summary:
VASP energy = -9.1331 eV per atom
Energy of formation = -0.23 eV per atom
Crystal system = tetragonal